# Ac2PmCoO8

A relaxed structure of Ac2PmCoO8 (PBE with a Hubbard U, the Alexandria database).

Unit cell a=5.5169 b=5.5169 c=6.3492 alpha=90.00 beta=90.00 gamma=120.00
Space group P-3m1 (No. 164)
Unique sites:
Ac 0.3333 0.6667 0.3582 x2
Pm 0.0000 0.0000 0.0000 x1
Co 0.0000 0.0000 0.5000 x1
O 0.1555 0.3111 0.6756 x6
O 0.3333 0.6667 0.0127 x2

Values from the calculation:
Total moment in Bohr magnetons per cell: 4.03
Volume in Å³/atom: 13.946
Energy in eV per atom: -6.76
Fermi-level density of states in states/eV/f.u.: 0.16